# Ag2PtAu, optimized geometry, DFT GGA-PBEsol
# Distance to the lowest polymorph of the same formula = 0.081 eV per atom
# Symmetry = Imm2, No. 44
data_Ag2PtAu
_cell_length_a 2.8828
_cell_length_b 4.7492
_cell_length_c 5.5077
_cell_angle_alpha 115.54
_cell_angle_beta 105.17
_cell_angle_gamma 90.00
_space_group_name_H-M_alt 'P 1'
_space_group_IT_number 1
loop_
_space_group_symop_operation_xyz
'x,y,z'
loop_
_atom_site_label
_atom_site_fract_x
_atom_site_fract_y
_atom_site_fract_z
_atom_site_occupancy
Ag1 0.7510 0.2510 0.5019 1
Pt1 0.2488 0.7488 0.4976 1
Ag2 0.9974 0.9974 0.9947 1
Au1 0.5029 0.5029 0.0057 1


# Ca2BiPb, optimized geometry, DFT GGA-PBEsol
# Symmetry = Fm-3m, No. 225
data_Ca2BiPb
_cell_length_a 5.5098
_cell_length_b 5.5098
_cell_length_c 5.5098
_cell_angle_alpha 60.00
_cell_angle_beta 60.00
_cell_angle_gamma 60.00
_space_group_name_H-M_alt 'P 1'
_space_group_IT_number 1
loop_
_space_group_symop_operation_xyz
'x,y,z'
loop_
_atom_site_label
_atom_site_fract_x
_atom_site_fract_y
_atom_site_fract_z
_atom_site_occupancy
Pb1 0.0000 0.0000 0.0000 1
Ca1 0.2500 0.2500 0.2500 1
Ca2 0.7500 0.7500 0.7500 1
Bi1 0.5000 0.5000 0.5000 1


# GaNiTe2I, optimized geometry, DFT GGA-PBEsol
# Formation energy from raw total energies = 906 meV per atom
# Symmetry = P4/mmm, No. 123
data_GaNiTe2I
_cell_length_a 5.2901
_cell_length_b 5.2901
_cell_length_c 5.3506
_cell_angle_alpha 90.00
_cell_angle_beta 90.00
_cell_angle_gamma 90.00
_space_group_name_H-M_alt 'P 1'
_space_group_IT_number 1
loop_
_space_group_symop_operation_xyz
'x,y,z'
loop_
_atom_site_label
_atom_site_fract_x
_atom_site_fract_y
_atom_site_fract_z
_atom_site_occupancy
I1 0.0000 0.0000 0.5000 1
Ni1 0.5000 0.5000 0.5000 1
Te1 0.5000 0.0000 0.0000 1
Ga1 0.0000 0.0000 0.0000 1
Te2 0.0000 0.5000 0.0000 1


Looking at final energy for the records above, in order, we have -4.34, -3.77, -2.76 eV per atom.